# CsUBr2F6

A geometry-optimized CsUBr2F6 structure (PBE, the Alexandria database).

Cell: 7.3089 7.3096 7.3108 Å, 59.98 60.00 90.00°
Closest atoms and distances in Å follow each position.
Positions (direct):
Cs (0.0000, 0.0000, 0.0000)  6 F 3.12
Br (0.2500, 0.7500, 0.5000)  12 F 3.69
Br (0.7500, 0.2500, 0.5000)  12 F 3.69
F (0.3021, 0.3020, 0.3958)  1 U 2.05
F (0.3021, 0.6979, 0.0000)  1 U 2.05
F (0.3021, 0.3021, 0.0000)  1 U 2.05
F (0.6979, 0.6979, 0.0000)  1 U 2.05
F (0.6979, 0.6980, 0.6042)  1 U 2.05
F (0.6979, 0.3021, 0.0000)  1 U 2.05
U (0.5000, 0.5000, 0.0000)  6 F 2.05

The calculation puts the energy relative to the elements, uncorrected at -2578 meV/atom. As for the space group: Fm-3m (225).

=====

# TiTc2Sb

A geometry-optimized TiTc2Sb structure (PBE, the Alexandria database).

Cell: 4.0145 4.0145 9.5864 Å, 77.91 77.91 90.00°
Closest atoms and distances in Å follow each position.
Positions (direct):
Tc (0.5642, 0.1250, 0.2500)  2 Tc 2.52, 2 Ti 2.61, 2 Sb 2.79
Tc (0.1858, 0.6250, 0.2500)  2 Tc 2.52, 2 Ti 2.61, 2 Sb 2.79
Tc (0.8750, 0.8142, 0.7500)  2 Tc 2.52, 2 Ti 2.61, 2 Sb 2.79
Tc (0.3750, 0.4358, 0.7500)  2 Tc 2.52, 2 Ti 2.61, 2 Sb 2.79
Sb (0.7500, 0.2500, 0.5000)  4 Tc 2.79, 4 Ti 2.84
Sb (0.0000, 0.0000, 0.0000)  4 Tc 2.79, 4 Ti 2.84
Ti (0.2500, 0.7500, 0.5000)  4 Tc 2.61, 4 Sb 2.84
Ti (0.5000, 0.5000, 0.0000)  4 Tc 2.61, 4 Sb 2.84

The calculation puts the energy relative to the elements, uncorrected at 345 meV/atom. As for the space group: I-42d (122).

=====

# GaHg2Pb

A geometry-optimized GaHg2Pb structure (PBE, the Alexandria database).

Cell: 3.1427 3.6445 10.8468 Å, 90.00 120.35 90.00°
Closest atoms and distances in Å follow each position.
Positions (direct):
Ga (0.2500, 0.5000, 0.2500)  4 Hg 2.90, 2 Ga 3.14
Pb (0.7500, 0.5000, 0.7500)  2 Pb 3.14, 4 Hg 3.20
Hg (0.3485, 0.0000, 0.4704)  2 Ga 2.90, 2 Hg 3.14, 2 Pb 3.20
Hg (0.1515, 0.0000, 0.0296)  2 Ga 2.90, 2 Hg 3.14, 2 Pb 3.20

As for the space group: P2/m (10).

=====

# Cs2TcNiH

A geometry-optimized Cs2TcNiH structure (PBE, the Alexandria database).

Cell: 6.3325 3.3127 6.3325 Å, 90.00 90.00 90.00°
Closest atoms and distances in Å follow each position.
Positions (direct):
Cs (0.0000, 0.0000, 0.5000)  2 Ni 3.17, 2 Cs 3.31
Cs (0.5000, 0.0000, 0.0000)  2 Ni 3.17, 2 Cs 3.31
Ni (0.0000, 0.0000, 0.0000)  2 H 1.66
Tc (0.5000, 0.5000, 0.5000)  2 Tc 3.31, 8 Cs 3.57
H (0.0000, 0.5000, 0.0000)  2 Ni 1.66

As for the space group: P4/mmm (123).

=====

Number 1: calculated density 3.9 g/cm³, electronic total energy -52.5 eV per cell, magnetization 1.6 μB per formula unit. Number 2: calculated density 8.2 g/cm³, electronic total energy -62.7 eV per cell, magnetization 0.0 μB per formula unit. Number 3: calculated density 10.5 g/cm³, electronic total energy -7.0 eV per cell, magnetization 0.0 μB per formula unit. Number 4: calculated density 5.3 g/cm³, electronic total energy -15.2 eV per cell, magnetization 3.6 μB per formula unit.